No. 1
Here is a relaxed structure of RbH6Br2O2 from Alexandria. Energies are from GGA-PBE.

## Properties
M_tot: 1.000 μB/f.u.
Space-group type: No. 12
Total energy: -3.87 eV/atom

Geometry as POSCAR:
```
RbH6Br2O2
1.0
4.877 0.002 0.001
2.435 9.698 -1.989
0.003 -7.800 6.199
Rb H Br O
1 6 2 2
Cartesian
2.440 -3.899 3.100
3.245 -0.132 3.364
5.682 2.032 0.848
2.438 1.455 3.874
1.632 -0.132 3.363
4.877 0.445 0.338
4.069 2.032 0.848
4.877 -1.506 3.876
2.437 3.406 0.336
2.439 0.414 3.096
4.876 1.485 1.115
```

***

No. 2
Here is a relaxed structure of Sm5Ho5Sc from Alexandria. Energies are from GGA-PBE.

## Properties
M_tot: 0.001 μB/f.u.
Space-group type: No. 187
Total energy: -4.47 eV/atom
DOS at the Fermi energy: 1.9649 states/eV per atom

Geometry as POSCAR:
```
Sm5Ho5Sc
1.0
-0.833 -5.831 1.362
5.499 1.991 -1.534
2.283 2.276 11.138
Sm Ho Sc
5 5 1
Cartesian
1.629 -2.874 2.109
3.210 -1.298 9.822
4.094 0.087 2.875
4.965 0.956 7.126
0.000 0.000 0.000
1.784 -0.483 5.768
0.606 0.604 2.958
4.104 -2.393 5.683
1.369 -3.383 6.446
1.676 1.672 8.180
3.388 -0.617 -0.568
```

***

No. 3
Here is a relaxed structure of Ba2NaBiPd from Alexandria. Energies are from GGA-PBE.

## Properties
M_tot: 0.000 μB/f.u.
Space-group type: No. 123
Total energy: -3.31 eV/atom
DOS at the Fermi energy: 0.1915 states/eV per atom

Geometry as POSCAR:
```
Ba2NaBiPd
1.0
-1.768 -5.818 -0.275
5.573 -1.606 -1.849
1.481 -0.690 5.063
Na Bi Pd Ba
1 1 1 2
Cartesian
0.741 -0.345 2.532
2.643 -4.057 1.470
0.000 0.000 0.000
2.786 -0.803 -0.924
-0.884 -2.909 -0.138
```

***

No. 4
Here is a relaxed structure of ScAlRh2 from Alexandria. Energies are from GGA-PBE.

## Properties
M_tot: 0.000 μB/f.u.
Space-group type: No. 122
Total energy: -6.71 eV/atom
DOS at the Fermi energy: 0.1609 states/eV per atom

Geometry as POSCAR:
```
ScAlRh2
1.0
-3.046 -4.187 -4.360
-1.502 -4.205 5.088
-4.816 -2.782 0.782
Sc Rh Al
2 4 2
Cartesian
0.000 0.000 0.000
-5.068 -5.583 -1.607
-3.219 -3.732 -1.784
-2.601 -3.952 2.720
-5.356 -5.340 0.988
-7.554 -9.323 1.095
-2.274 -4.196 0.364
-4.296 -5.591 3.117
```

***

No. 5
Here is a relaxed structure of DyPaGeAu from Alexandria. Energies are from GGA-PBE.

## Properties
M_tot: 2.011 μB/f.u.
Space-group type: No. 216
Total energy: -5.91 eV/atom
DOS at the Fermi energy: 2.1089 states/eV per atom

Geometry as POSCAR:
```
DyPaGeAu
1.0
-0.942 -3.328 -3.741
3.144 -0.295 -3.998
2.991 -4.081 -0.592
Ge Pa Au Dy
1 1 1 1
Cartesian
1.298 -1.926 -2.083
2.597 -3.852 -4.165
3.895 -5.778 -6.248
0.000 0.000 0.000
```

***

No. 6
Here is a relaxed structure of ZnMoRh2 from Alexandria. Energies are from GGA-PBE.

## Properties
M_tot: 0.000 μB/f.u.
Space-group type: No. 139
Total energy: -6.92 eV/atom
DOS at the Fermi energy: 0.5758 states/eV per atom

Geometry as POSCAR:
```
ZnMoRh2
1.0
4.635 0.000 0.000
1.278 4.456 0.000
-2.958 -2.226 2.790
Mo Rh Zn
1 2 1
Cartesian
0.638 2.229 1.395
0.000 0.000 0.000
2.956 2.228 0.000
2.317 0.001 1.395
```

***

No. 7
Here is a relaxed structure of Li4Sc2F9 from Alexandria. Energies are from GGA-PBE.

## Properties
M_tot: 1.000 μB/f.u.
ΔE_f (raw): -3.278 eV per atom
Space-group type: No. 165

Geometry as POSCAR:
```
Li4Sc2F9
1.0
5.272 0.001 0.011
2.636 4.565 0.029
-0.029 -0.071 13.832
Li Sc F
8 4 18
Cartesian
2.607 1.452 13.629
2.621 1.488 6.713
5.271 3.043 0.243
2.629 1.510 2.536
5.257 3.007 7.159
5.261 3.022 4.420
2.617 1.473 9.452
5.248 2.986 11.336
5.260 -0.024 4.893
5.267 -0.009 2.045
2.618 4.519 8.979
2.611 4.504 11.827
0.814 1.393 10.383
3.450 3.064 10.397
6.215 4.512 10.410
7.063 3.102 3.489
4.428 1.431 3.475
1.663 -0.017 3.462
6.045 4.421 5.784
6.083 1.631 5.770
3.647 2.993 5.772
3.420 0.111 1.175
3.457 2.901 1.190
1.021 1.538 1.178
1.832 0.074 8.088
1.795 2.864 8.102
4.231 1.502 8.100
4.458 4.384 12.697
4.421 1.594 12.682
6.857 2.957 12.694
```

***

No. 8
Here is a relaxed structure of TiSnPd3 from Alexandria. Energies are from GGA-PBE.

## Properties
M_tot: 0.000 μB/f.u.
Space-group type: No. 221
DOS at the Fermi energy: 1.9374 states/eV per atom
ΔE to the lowest computed polymorph: 6.263 eV/f.u.

Geometry as POSCAR:
```
TiSnPd3
1.0
4.861 0.000 0.000
0.000 4.861 0.000
0.000 0.000 4.861
Sn Pd Ti
1 3 1
Cartesian
0.000 0.000 0.000
0.000 2.430 0.000
0.000 0.000 2.430
2.430 0.000 0.000
2.430 2.430 2.430
```

***

No. 9
Here is a relaxed structure of Li5Ca2AlZn2 from Alexandria. Energies are from GGA-PBE.

## Properties
M_tot: 0.000 μB/f.u.
Space-group type: No. 127
Total energy: -2.06 eV/atom
DOS at the Fermi energy: 0.6009 states/eV per atom

Geometry as POSCAR:
```
Li5Ca2AlZn2
1.0
-3.024 0.911 -2.667
5.761 -3.409 -7.697
-3.896 -9.348 1.224
Li Ca Al Zn
10 4 2 4
Cartesian
-0.576 -0.785 -2.818
-0.583 -11.061 -6.321
-4.280 -7.202 -0.811
0.815 -6.062 -6.199
3.121 -4.644 -8.329
-1.975 -5.784 -2.941
-1.028 -8.015 -4.776
-0.131 -3.831 -4.364
1.368 -1.249 -5.182
-3.460 -4.218 -0.721
3.221 -4.035 -5.031
-1.356 -8.722 -1.442
-0.184 -3.589 -1.017
2.049 -9.168 -5.455
0.000 0.000 0.000
0.933 -6.378 -3.236
-1.741 -6.092 -0.107
3.606 -6.665 -6.365
0.058 -10.392 -3.615
1.807 -2.365 -2.857
```

***

No. 10
Here is a relaxed structure of SmThZn from Alexandria. Energies are from GGA-PBE.

## Properties
M_tot: 0.000 μB/f.u.
Space-group type: No. 156
DOS at the Fermi energy: 0.9435 states/eV per atom
ΔE to the lowest computed polymorph: 0.559 eV/f.u.

Geometry as POSCAR:
```
SmThZn
1.0
-2.006 -2.263 2.091
2.344 -3.982 -2.060
1.887 2.172 4.161
Zn Sm Th
1 1 1
Cartesian
1.328 -0.682 2.829
0.973 -3.306 1.284
-0.075 -0.085 0.078
```

***

No. 11
Here is a relaxed structure of Zr2FeAs from Alexandria. Energies are from GGA-PBE.

## Properties
M_tot: 1.810 μB/f.u.
Space-group type: No. 123
Total energy: -8.02 eV/atom
DOS at the Fermi energy: 0.8398 states/eV per atom

Geometry as POSCAR:
```
Zr2FeAs
1.0
-1.324 2.910 1.346
-1.812 0.522 -2.912
-4.543 -3.117 2.268
As Fe Zr
1 1 2
Cartesian
-2.704 0.937 -0.215
-4.976 -0.622 0.919
-4.532 -3.110 2.263
-2.282 -1.566 1.140
```

***

No. 12
Here is a relaxed structure of MgAsAu from Alexandria. Energies are from GGA-PBE.

## Properties
M_tot: 0.000 μB/f.u.
Space-group type: No. 1
Total energy: -3.52 eV/atom
DOS at the Fermi energy: 0.0023 states/eV per atom

Geometry as POSCAR:
```
MgAsAu
1.0
4.505 -0.014 -0.002
-2.235 3.908 0.005
-2.266 -3.911 7.909
Mg Au As
2 2 2
Cartesian
0.531 2.339 2.586
0.468 -2.869 6.537
0.481 -0.268 5.508
0.518 -0.261 1.552
2.773 1.033 1.266
-1.775 -1.560 5.222
```

***

No. 13
Here is a relaxed structure of RePd3 from Alexandria. Energies are from GGA-PBE.

## Properties
M_tot: 0.000 μB/f.u.
Space-group type: No. 139
Total energy: -6.85 eV/atom
DOS at the Fermi energy: 0.7430 states/eV per atom

Geometry as POSCAR:
```
RePd3
1.0
3.879 0.000 0.000
0.000 3.879 0.000
-1.939 -1.939 3.973
Re Pd
1 3
Cartesian
0.000 0.000 0.000
1.939 0.000 1.987
0.000 1.939 1.987
1.939 1.939 0.000
```

***

No. 14
Here is a relaxed structure of TlCdHg14 from Alexandria. Energies are from GGA-PBE.

## Properties
M_tot: 0.000 μB/f.u.
Space-group type: No. 38
Total energy: -0.46 eV/atom
DOS at the Fermi energy: 0.2361 states/eV per atom

Geometry as POSCAR:
```
TlCdHg14
1.0
7.889 -0.803 0.000
-4.454 6.560 0.000
0.000 0.000 9.407
Tl Cd Hg
1 1 14
Cartesian
4.270 1.356 0.000
-2.190 5.210 0.000
3.763 1.659 4.704
-2.508 5.399 4.704
-0.198 2.124 0.000
0.254 1.913 4.704
1.471 4.923 0.000
1.872 4.626 4.704
1.726 0.914 7.270
1.726 0.914 2.137
3.450 3.805 7.270
3.450 3.805 2.137
5.807 0.439 6.733
5.807 0.439 2.674
-0.612 4.268 6.890
-0.612 4.268 2.517
```

***

No. 15
Here is a relaxed structure of SrCeAg4 from Alexandria. Energies are from GGA-PBE.

## Properties
M_tot: 1.299 μB/f.u.
Space-group type: No. 47
DOS at the Fermi energy: 1.6752 states/eV per atom
ΔE to the lowest computed polymorph: 0.000 eV/f.u.

Geometry as POSCAR:
```
SrCeAg4
1.0
3.729 -0.001 0.000
0.002 4.887 0.000
-0.001 0.000 8.335
Sr Ce Ag
1 1 4
Cartesian
3.724 2.429 8.319
3.726 4.872 4.152
1.861 4.873 1.411
1.860 4.873 6.893
1.860 2.430 5.527
1.860 2.429 2.777
```

***

No. 16
Here is a relaxed structure of CsSrBi4 from Alexandria. Energies are from GGA-PBE.

## Properties
M_tot: 0.000 μB/f.u.
Space-group type: No. 191
DOS at the Fermi energy: 0.5690 states/eV per atom
ΔE to the lowest computed polymorph: 0.000 eV/f.u.

Geometry as POSCAR:
```
CsSrBi4
1.0
5.383 0.000 0.000
-2.691 4.662 0.000
0.000 0.000 10.398
Cs Sr Bi
1 1 4
Cartesian
0.000 0.000 5.199
0.000 0.000 0.000
2.691 1.554 8.180
0.000 3.108 2.218
2.691 1.554 2.218
0.000 3.108 8.180
```

***

No. 17
Here is a relaxed structure of Dy2ZrN3 from Alexandria. Energies are from GGA-PBE.

## Properties
M_tot: 0.000 μB/f.u.
ΔE_f (raw): -1.701 eV per atom
Space-group type: No. 139
DOS at the Fermi energy: 0.1508 states/eV per atom

Geometry as POSCAR:
```
Dy2ZrN3
1.0
-3.186 1.063 -0.530
-0.044 -1.620 -2.988
-0.892 -5.625 5.000
Dy Zr N
2 1 3
Cartesian
-0.500 -1.200 0.663
-2.971 -3.496 0.012
-2.181 -5.161 2.838
-3.796 -5.440 1.079
-1.382 -3.275 1.802
-2.090 -1.421 -1.127
```

***

No. 18
Here is a relaxed structure of CeScS2 from Alexandria. Energies are from GGA-PBE.

## Properties
M_tot: 0.772 μB/f.u.
ΔE_f (raw): -1.945 eV per atom
Space-group type: No. 166
DOS at the Fermi energy: 1.3775 states/eV per atom
ΔE to the lowest computed polymorph: 0.000 eV/f.u.

Geometry as POSCAR:
```
CeScS2
1.0
3.818 0.000 0.000
1.909 3.306 0.000
1.909 1.102 6.428
Sc S Ce
1 2 1
Cartesian
0.000 0.000 0.000
1.909 1.102 1.431
5.727 3.306 4.997
3.818 2.204 3.214
```

***

No. 19
Here is a relaxed structure of Th4GeTe2Se from Alexandria. Energies are from GGA-PBE.

## Properties
M_tot: 0.000 μB/f.u.
ΔE_f (raw): -1.155 eV per atom
Space-group type: No. 10
DOS at the Fermi energy: 0.7641 states/eV per atom

Geometry as POSCAR:
```
Th4GeTe2Se
1.0
-2.209 0.417 3.726
-5.776 -3.435 -3.041
4.649 -5.271 3.346
Th Ge Te Se
4 1 2 1
Cartesian
-1.469 -1.771 1.868
-1.867 -6.519 2.163
2.126 -5.003 1.820
-3.253 -3.704 -1.515
0.000 0.000 0.000
1.220 -2.427 3.536
-0.564 -4.353 0.153
-3.993 -1.509 0.342
```

***

No. 20
Here is a relaxed structure of GaPt3Rh4 from Alexandria. Energies are from GGA-PBE.

## Properties
M_tot: 0.000 μB/f.u.
Space-group type: No. 12
Total energy: -6.49 eV/atom
DOS at the Fermi energy: 1.4178 states/eV per atom

Geometry as POSCAR:
```
GaPt3Rh4
1.0
-1.581 -3.577 -0.310
2.840 -3.532 1.449
-4.022 -0.891 5.975
Rh Pt Ga
4 3 1
Cartesian
-0.397 -6.556 3.207
-2.366 -1.444 3.908
-3.035 -3.452 5.672
0.273 -4.548 1.443
-2.063 -6.008 5.373
-0.700 -1.993 1.742
-1.381 -4.000 3.557
0.000 0.000 0.000
```